Entry from Alexandria via LeMat-Bulk: BaTcW2 at its PBEsol-relaxed geometry (meta-GGA SCAN).

Geometry as extended XYZ:
```
4
Lattice="-2.1344 -1.4436 1.9084 3.4451 -3.4274 -1.4333 2.6064 2.6486 4.9185" Properties=species:S:1:pos:R:3 pbc="T T T"
Ba 1.3032 1.3243 2.4593
W 2.6000 -0.8310 4.9731
W 1.3171 -1.3914 0.4206
Tc -1.0672 -0.7218 0.9542
```

Results
Calculated formation energy: 0.97 eV per atom
V: 23.05 A^3/atom
Crystal system: monoclinic
D(E_F): 4.40 states/eV per cell
Spin magnetization: 0.00 μB/f.u.